This record from Alexandria describes an optimized crystal structure of V15Fe2Ru2. The functional is PBE. Values from VASP.

Geometry as Quantum ESPRESSO input:
```
&SYSTEM
  ibrav = 0, nat = 19, ntyp = 3
/
ATOMIC_SPECIES
Ru 101.07 Ru.upf
V 50.94 V.upf
Fe 55.84 Fe.upf
ATOMIC_POSITIONS crystal
Ru 0.681 0.681 0.681
Ru 0.319 0.319 0.319
V 0.347 0.838 0.347
V 0.162 0.653 0.653
V 0.318 0.682 0.000
V 0.318 0.000 0.682
V 0.682 0.318 0.000
V 0.500 0.000 0.000
V 0.000 0.682 0.318
V 0.347 0.347 0.838
V 0.838 0.347 0.347
V 0.000 0.318 0.682
V 0.000 0.500 0.000
V 0.000 0.000 0.500
V 0.653 0.653 0.162
V 0.682 0.000 0.318
V 0.653 0.162 0.653
Fe 0.084 0.084 0.084
Fe 0.916 0.916 0.916
CELL_PARAMETERS angstrom
-3.059 4.905 -2.975
-6.000 -0.469 2.460
0.065 4.605 4.589
```

Values from the calculation:
- calculated formation energy (eV per atom) = 0.2978